Compound: MnAsIO2
Source: the Alexandria database
Functional: PBE with a Hubbard U
Structure: optimized geometry

## Properties
Uncorrected energy   -4.8340 eV/atom
Theoretical density   4708 kg/m3

Cell lengths 3.896, 3.896, 6.710 Å; angles 90.00, 90.00, 90.00 degrees
Atoms (fractional coordinates):
I: 0.000 0.000 0.500
As: 0.500 0.500 0.500
Mn: 0.000 0.000 0.000
O: 0.000 0.500 0.000
O: 0.500 0.000 0.000